A plane-wave DFT calculation with meta-GGA SCAN was carried out for TaCuRh2 at its PBEsol-relaxed geometry.

CIF file:
```
data_TaCuRh2
_cell_length_a 3.956
_cell_length_b 3.956
_cell_length_c 3.532
_cell_angle_alpha 90.00
_cell_angle_beta 90.00
_cell_angle_gamma 90.00
_symmetry_space_group_name_H-M 'P 4/m m m'
_symmetry_Int_Tables_number 123
_symmetry_space_group_name_Hall '-P 4 2'
loop_
_atom_site_label
_atom_site_type_symbol
_atom_site_fract_x
_atom_site_fract_y
_atom_site_fract_z
_atom_site_occupancy
Ta1 Ta 0.000 0.000 0.000 1
Cu1 Cu 0.500 0.500 0.000 1
Rh1 Rh 0.000 0.500 0.500 1
```

- V (Å³ per cell) = 55.28
- electronic total energy (eV per atom) = -37.84
- energy of formation from the pure elements (kJ/mol of formula units) = -196

***

A plane-wave DFT calculation with meta-GGA SCAN was carried out for TaCuRh2 at its PBEsol-relaxed geometry.

CIF file:
```
data_TaCuRh2
_cell_length_a 4.605
_cell_length_b 2.773
_cell_length_c 4.733
_cell_angle_alpha 90.00
_cell_angle_beta 111.99
_cell_angle_gamma 90.00
_symmetry_space_group_name_H-M 'P 1 2/m 1'
_symmetry_Int_Tables_number 10
loop_
_symmetry_equiv_pos_as_xyz
'x,y,z'
'-x,-y,-z'
'-x,y,-z'
'x,-y,z'
loop_
_atom_site_label
_atom_site_type_symbol
_atom_site_fract_x
_atom_site_fract_y
_atom_site_fract_z
_atom_site_occupancy
Ta1 Ta 0.000 0.000 0.000 1
Cu1 Cu 0.000 0.500 0.500 1
Rh1 Rh 0.500 0.000 0.500 1
Rh2 Rh 0.500 0.500 0.000 1
```

- V (Å³ per cell) = 56.05
- electronic total energy (eV per atom) = -37.55
- energy of formation from the pure elements (kJ/mol of formula units) = -86

***

A plane-wave DFT calculation with meta-GGA SCAN was carried out for TaCuRh2 at its PBEsol-relaxed geometry.

CIF file:
```
data_TaCuRh2
_cell_length_a 3.728
_cell_length_b 3.728
_cell_length_c 7.976
_cell_angle_alpha 90.00
_cell_angle_beta 90.00
_cell_angle_gamma 90.00
_symmetry_space_group_name_H-M 'I -4 m 2'
_symmetry_Int_Tables_number 119
_symmetry_space_group_name_Hall 'I -4 -2'
loop_
_atom_site_label
_atom_site_type_symbol
_atom_site_fract_x
_atom_site_fract_y
_atom_site_fract_z
_atom_site_occupancy
Ta1 Ta 0.000 0.000 0.000 1
Cu1 Cu 0.000 0.500 0.750 1
Rh1 Rh 0.000 0.000 0.500 1
Rh2 Rh 0.000 0.500 0.250 1
```

- V (Å³ per cell) = 110.85
- electronic total energy (eV per atom) = -37.75
- energy of formation from the pure elements (kJ/mol of formula units) = -160

***

A plane-wave DFT calculation with meta-GGA SCAN was carried out for Ta2CuRh2 at its PBEsol-relaxed geometry.

CIF file:
```
data_Ta2CuRh2
_cell_length_a 3.620
_cell_length_b 3.620
_cell_length_c 12.834
_cell_angle_alpha 90.00
_cell_angle_beta 90.00
_cell_angle_gamma 90.00
_symmetry_space_group_name_H-M 'I 4/m m m'
_symmetry_Int_Tables_number 139
_symmetry_space_group_name_Hall '-I 4 2'
loop_
_atom_site_label
_atom_site_type_symbol
_atom_site_fract_x
_atom_site_fract_y
_atom_site_fract_z
_atom_site_occupancy
Ta1 Ta 0.000 0.000 0.106 1
Cu1 Cu 0.000 0.000 0.500 1
Rh1 Rh 0.000 0.500 0.250 1
```

- V (Å³ per cell) = 168.18
- electronic total energy (eV per atom) = -42.91
- energy of formation from the pure elements (kJ/mol of formula units) = 130

***

A plane-wave DFT calculation with meta-GGA SCAN was carried out for CuTc2Rh at its PBEsol-relaxed geometry.

CIF file:
```
data_CuTc2Rh
_cell_length_a 2.6508
_cell_length_b 2.6508
_cell_length_c 26.2667
_cell_angle_alpha 90.00
_cell_angle_beta 90.00
_cell_angle_gamma 120.00
_symmetry_space_group_name_H-M 'R -3 m'
_symmetry_Int_Tables_number 166
_symmetry_space_group_name_Hall '-R 3 2"'
loop_
_atom_site_label
_atom_site_type_symbol
_atom_site_fract_x
_atom_site_fract_y
_atom_site_fract_z
_atom_site_occupancy
Cu1 Cu 0.0000 0.0000 0.0000 1
Tc1 Tc 0.0000 0.0000 0.2502 1
Rh1 Rh 0.0000 0.0000 0.5000 1
```

- V (Å³ per cell) = 159.84
- energy above the lowest structure with this stoichiometry (kJ/mol of atoms) = 0.0
- electronic total energy (eV per atom) = -29.65
- energy of formation from the pure elements (kJ/mol of formula units) = 46

***

A plane-wave DFT calculation with meta-GGA SCAN was carried out for Cu2TcRh at its PBEsol-relaxed geometry.

CIF file:
```
data_Cu2TcRh
_cell_length_a 2.717
_cell_length_b 4.384
_cell_length_c 8.665
_cell_angle_alpha 90.00
_cell_angle_beta 90.00
_cell_angle_gamma 90.00
_symmetry_space_group_name_H-M 'C m m 2'
_symmetry_Int_Tables_number 35
loop_
_symmetry_equiv_pos_as_xyz
'x,y,z'
'-x,-y,z'
'-x,y,z'
'x,-y,z'
'x+1/2,y+1/2,z'
'-x+1/2,-y+1/2,z'
'-x+1/2,y+1/2,z'
'x+1/2,-y+1/2,z'
loop_
_atom_site_label
_atom_site_type_symbol
_atom_site_fract_x
_atom_site_fract_y
_atom_site_fract_z
_atom_site_occupancy
Cu1 Cu 0.000 0.000 0.000 1
Cu2 Cu 0.000 0.500 0.234 1
Tc1 Tc 0.000 0.500 0.743 1
Rh1 Rh 0.000 0.000 0.487 1
```

- V (Å³ per cell) = 103.22
- electronic total energy (eV per atom) = -24.59
- energy of formation from the pure elements (kJ/mol of formula units) = 83

***

A plane-wave DFT calculation with meta-GGA SCAN was carried out for CuTc2Rh at its PBEsol-relaxed geometry.

CIF file:
```
data_CuTc2Rh
_cell_length_a 8.988
_cell_length_b 2.678
_cell_length_c 4.492
_cell_angle_alpha 90.00
_cell_angle_beta 100.22
_cell_angle_gamma 90.00
_symmetry_space_group_name_H-M 'C 1 2/m 1'
_symmetry_Int_Tables_number 12
loop_
_symmetry_equiv_pos_as_xyz
'x,y,z'
'-x,-y,-z'
'-x,y,-z'
'x,-y,z'
'x+1/2,y+1/2,z'
'-x+1/2,-y+1/2,-z'
'-x+1/2,y+1/2,-z'
'x+1/2,-y+1/2,z'
loop_
_atom_site_label
_atom_site_type_symbol
_atom_site_fract_x
_atom_site_fract_y
_atom_site_fract_z
_atom_site_occupancy
Cu1 Cu 0.000 0.000 0.000 1
Tc1 Tc 0.247 0.000 0.750 1
Rh1 Rh 0.000 0.500 0.500 1
```

- V (Å³ per cell) = 106.41
- energy above the lowest structure with this stoichiometry (kJ/mol of atoms) = 0.9
- electronic total energy (eV per atom) = -29.65
- energy of formation from the pure elements (kJ/mol of formula units) = 49

***

A plane-wave DFT calculation with meta-GGA SCAN was carried out for CuTc2Rh at its PBEsol-relaxed geometry.

CIF file:
```
data_CuTc2Rh
_cell_length_a 2.788
_cell_length_b 4.418
_cell_length_c 8.809
_cell_angle_alpha 90.00
_cell_angle_beta 90.00
_cell_angle_gamma 90.00
_symmetry_space_group_name_H-M 'C m m 2'
_symmetry_Int_Tables_number 35
loop_
_symmetry_equiv_pos_as_xyz
'x,y,z'
'-x,-y,z'
'-x,y,z'
'x,-y,z'
'x+1/2,y+1/2,z'
'-x+1/2,-y+1/2,z'
'-x+1/2,y+1/2,z'
'x+1/2,-y+1/2,z'
loop_
_atom_site_label
_atom_site_type_symbol
_atom_site_fract_x
_atom_site_fract_y
_atom_site_fract_z
_atom_site_occupancy
Cu1 Cu 0.000 0.000 0.000 1
Tc1 Tc 0.000 0.000 0.499 1
Tc2 Tc 0.000 0.500 0.251 1
Rh1 Rh 0.000 0.500 0.754 1
```

- V (Å³ per cell) = 108.51
- energy above the lowest structure with this stoichiometry (kJ/mol of atoms) = 10.9
- electronic total energy (eV per atom) = -29.54
- energy of formation from the pure elements (kJ/mol of formula units) = 89

***

> The highest energy of formation from the pure elements belongs to which entry?

Ta2CuRh2

***

> What is the V in the fourth record?

168.18 Å³ per cell

***

> Number 8 is which compound?

CuTc2Rh

***

> Number 6 is which compound?

Cu2TcRh